Entry 1:
A plane-wave DFT calculation with GGA-PBE was carried out for an optimized crystal structure of MnPt2Cl.

Cell: 2.927 4.817 9.342 Å, 90.00 90.00 90.00°
Space group Imm2 (No. 44)
Unique sites:
Mn (0.000, 0.000, 0.000) x2
Pt (0.000, 0.000, 0.496) x2
Pt (0.000, 0.500, 0.720) x2
Cl (0.000, 0.500, 0.302) x2



Entry 2:
A plane-wave DFT calculation with GGA-PBE was carried out for an optimized crystal structure of MnPt2Cl.

Cell: 3.858 3.858 9.016 Å, 90.00 90.00 90.00°
Space group I4/mmm (No. 139)
Unique sites:
Mn (0.000, 0.000, 0.000) x2
Pt (0.000, 0.500, 0.250) x4
Cl (0.000, 0.000, 0.500) x2



Entry 3:
A plane-wave DFT calculation with GGA-PBE was carried out for an optimized crystal structure of MnPt2Cl.

Cell: 7.865 7.865 4.847 Å, 90.00 90.00 90.00°
Space group I-42d (No. 122)
Unique sites:
Mn (0.000, 0.000, 0.000) x4
Pt (0.198, 0.250, 0.125) x8
Cl (0.000, 0.000, 0.500) x4



Entry 4:
A plane-wave DFT calculation with GGA-PBE was carried out for an optimized crystal structure of MnPtCl2.

Cell: 13.196 3.414 4.375 Å, 90.00 94.52 90.00°
Space group C2/m (No. 12)
Unique sites:
Mn (0.000, 0.000, 0.000) x2
Pt (0.000, 0.500, 0.500) x2
Cl (0.138, 0.500, 0.208) x4



Number 1: calculated total energy -5.533 eV per atom. Number 2: calculated total energy -5.525 eV per atom. Number 3: calculated total energy -5.485 eV per atom. Number 4: calculated total energy -5.134 eV per atom.